Below is a crystal of SbTe2ClF relaxed with PBEsol, with properties calculated at the meta-GGA SCAN level.

## Properties
The calculation puts the calculated volume at 24.21 Å³ per atom. Its space-group type is P4/mmm. For the uncorrected formation energy, the calculation gives 0.103 eV/atom.

abc: 4.6941 4.6941 5.4939
angles: 90.00 90.00 90.00
Atoms (fractional coordinates):
Sb  0.0000  0.0000  0.0000
Te  0.0000  0.5000  0.5000
Te  0.5000  0.0000  0.5000
Cl  0.5000  0.5000  0.0000
F  0.0000  0.0000  0.5000

=====

Below is a crystal of CrNi2Pt relaxed with PBEsol, with properties calculated at the meta-GGA SCAN level.

## Properties
Its formation energy is -0.3 eV per formula unit. The calculation puts the calculated volume at 11.82 Å³ per atom. Its space-group type is C2/m.

abc: 4.3716 4.3716 4.4557
angles: 99.73 99.73 34.33
Atoms (fractional coordinates):
Cr  0.0000  0.0000  0.0000
Ni  0.2534  0.2534  0.7677
Ni  0.7466  0.7466  0.2323
Pt  0.5000  0.5000  0.5000

=====

Below is a crystal of TiSb relaxed with PBEsol, with properties calculated at the meta-GGA SCAN level.

## Properties
The calculation puts the calculated volume at 20.94 Å³ per atom. Its space-group type is P6_3/mmc. For the uncorrected formation energy, the calculation gives -0.474 eV/atom.

abc: 3.9138 3.9138 12.6265
angles: 90.00 90.00 120.00
Atoms (fractional coordinates):
Ti  0.3333  0.6667  0.1189
Ti  0.3333  0.6667  0.3811
Ti  0.6667  0.3333  0.6189
Ti  0.6667  0.3333  0.8811
Sb  0.0000  0.0000  0.0000
Sb  0.0000  0.0000  0.5000
Sb  0.3333  0.6667  0.7500
Sb  0.6667  0.3333  0.2500

=====

Below is a crystal of Ag2HgBr2 relaxed with PBEsol, with properties calculated at the meta-GGA SCAN level.

## Properties
The calculation puts the calculated volume at 37.21 Å³ per atom. Its space-group type is I4/mmm. For the uncorrected formation energy, the calculation gives -0.202 eV/atom.

abc: 7.4606 7.4606 7.4606
angles: 137.69 137.69 61.38
Atoms (fractional coordinates):
Ag  0.2140  0.2140  0.0000
Ag  0.7860  0.7860  0.0000
Hg  0.0000  0.0000  0.0000
Br  0.2500  0.7500  0.5000
Br  0.7500  0.2500  0.5000